MnVZnF6 | PBE+U | relaxed

Lattice parameters (Å, degrees): 5.3673 5.3673 9.2799 90.00 90.00 120.00
Space group P-31c (No. 163)
One atom of each set of equivalent atoms:
Mn (0.0000, 0.0000, 0.0000) [2 per cell]
V (0.3333, 0.6667, 0.2500) [2 per cell]
Zn (0.3333, 0.6667, 0.7500) [2 per cell]
F (0.0076, 0.3396, 0.6309) [12 per cell]

Total energy (Ry/atom): -0.410
Calculated density (g cm⁻³): 4.09
Magnetic moment (μB/atom): 0.889